[1]
5
Lattice="-4.643 -2.178 -2.023 2.571 -1.986 -3.761 0.840 -4.560 2.982" Properties=species:S:1:pos:R:3 comment="SrZnBi2W (PBE, optimized geometry)" ef_kj_per_mol_atoms=74.1 magmom_total_mub_per_cell=3.0 total_energy_ev_per_atom=-3.97 pbc="T T T"
Sr -0.616 -4.362 -1.401
Zn 0.000 0.000 0.000
W 1.285 -0.993 -1.881
Bi -2.322 -1.089 -1.011
Bi 0.420 -2.280 1.491

---

[2]
5
Lattice="5.666 0.000 0.000 0.000 5.666 0.000 0.000 0.000 5.666" Properties=species:S:1:pos:R:3 comment="SrY3Bi (PBE, optimized geometry)" ef_kj_per_mol_atoms=95.7 magmom_total_mub_per_cell=0.0 total_energy_ev_per_atom=-4.00 pbc="T T T"
Y 0.000 0.000 2.833
Y 2.833 0.000 0.000
Sr 0.000 0.000 0.000
Bi 2.833 2.833 2.833
Y 0.000 2.833 0.000